[1]
A plane-wave DFT calculation with SCAN was carried out for a PBEsol-optimized structure of Gd3SbO7.

Computed properties:
**Excess energy over the best structure of this formula in the dataset**: 0.014 eV/atom
**Formation energy without anion corrections**: -3.144 eV per atom

abc: 7.4673 7.4807 10.6044
angles: 90.00 90.00 90.00
With the nearest neighbours (Å) after each atom.
Sites, in units of the cell vectors:
1 Gd 0.7763 0.0075 0.2500  6 O 2.34-2.45
2 Gd 0.9642 0.2534 0.5212  6 O 2.24-2.42
3 Gd 0.9642 0.2534 0.9788  6 O 2.24-2.42
4 Gd 0.4642 0.2466 0.0212  6 O 2.24-2.42
5 Gd 0.4642 0.2466 0.4788  6 O 2.24-2.42
6 Gd 0.2763 0.4925 0.7500  6 O 2.34-2.45
7 Gd 0.7237 0.5075 0.2500  6 O 2.34-2.45
8 Gd 0.5358 0.7534 0.5212  6 O 2.24-2.42
9 Gd 0.5358 0.7534 0.9788  6 O 2.24-2.42
10 Gd 0.0358 0.7466 0.0212  6 O 2.24-2.42
11 Gd 0.0358 0.7466 0.4788  6 O 2.24-2.42
12 Gd 0.2237 0.9925 0.7500  6 O 2.34-2.45
13 Sb 0.7532 0.0012 0.7500  6 O 1.97-2.00
14 Sb 0.2532 0.4988 0.2500  6 O 1.97-2.00
15 Sb 0.7468 0.5012 0.7500  6 O 1.97-2.00
16 Sb 0.2468 0.9988 0.2500  6 O 1.97-2.00
17 O 0.0505 0.0342 0.1244  1 Sb 2.00
18 O 0.0505 0.0342 0.3756  1 Sb 2.00
19 O 0.5745 0.0376 0.6161  1 Sb 1.97
20 O 0.5745 0.0376 0.8839  1 Sb 1.97
21 O 0.3406 0.2476 0.2500  2 Sb 1.99
22 O 0.7317 0.2537 0.1172  4 Gd 2.24-2.36
23 O 0.7317 0.2537 0.3828  4 Gd 2.24-2.36
24 O 0.2317 0.2463 0.6172  4 Gd 2.24-2.36
25 O 0.2317 0.2463 0.8828  4 Gd 2.24-2.36
26 O 0.8406 0.2524 0.7500  2 Sb 1.99
27 O 0.0745 0.4624 0.1161  1 Sb 1.97
28 O 0.0745 0.4624 0.3839  1 Sb 1.97
29 O 0.5505 0.4658 0.6244  1 Sb 2.00
30 O 0.5505 0.4658 0.8756  1 Sb 2.00
31 O 0.4495 0.5342 0.1244  1 Sb 2.00
32 O 0.4495 0.5342 0.3756  1 Sb 2.00
33 O 0.9255 0.5376 0.6161  1 Sb 1.97
34 O 0.9255 0.5376 0.8839  1 Sb 1.97
35 O 0.1594 0.7476 0.2500  2 Sb 1.99
36 O 0.7683 0.7537 0.1172  4 Gd 2.24-2.36
37 O 0.7683 0.7537 0.3828  4 Gd 2.24-2.36
38 O 0.2683 0.7463 0.6172  4 Gd 2.24-2.36
39 O 0.2683 0.7463 0.8828  4 Gd 2.24-2.36
40 O 0.6594 0.7524 0.7500  2 Sb 1.99
41 O 0.4255 0.9624 0.1161  1 Sb 1.97
42 O 0.4255 0.9624 0.3839  1 Sb 1.97
43 O 0.9495 0.9658 0.6244  1 Sb 2.00
44 O 0.9495 0.9658 0.8756  1 Sb 2.00


[2]
A plane-wave DFT calculation with SCAN was carried out for a PBEsol-optimized structure of Hf3TlSb.

Computed properties:
**Excess energy over the best structure of this formula in the dataset**: 0.000 eV/atom
**Formation energy without anion corrections**: 0.927 eV per atom

abc: 5.1775 5.1775 5.1775
angles: 90.00 90.00 90.00
With the nearest neighbours (Å) after each atom.
Sites, in units of the cell vectors:
1 Sb 0.0000 0.0000 0.0000  6 Hf 2.59
2 Tl 0.5000 0.5000 0.5000  12 Hf 3.66
3 Hf 0.0000 0.5000 0.0000  2 Sb 2.59
4 Hf 0.0000 0.0000 0.5000  2 Sb 2.59
5 Hf 0.5000 0.0000 0.0000  2 Sb 2.59


[3]
A plane-wave DFT calculation with SCAN was carried out for a PBEsol-optimized structure of KGaP2O.

Computed properties:
**Formation energy without anion corrections**: 1.487 eV per atom

abc: 4.3798 5.3159 5.3159
angles: 90.00 90.00 90.00
With the nearest neighbours (Å) after each atom.
Sites, in units of the cell vectors:
1 P 0.0000 0.0000 0.5000  2 K 2.66
2 P 0.0000 0.5000 0.0000  2 K 2.66
3 K 0.0000 0.0000 0.0000  2 O 2.19
4 O 0.5000 0.0000 0.0000  2 K 2.19
5 Ga 0.5000 0.5000 0.5000  8 P 3.44, 4 O 3.76


- Among the records above, which one has the highest formation energy without anion corrections?
  KGaP2O